[1]
Compound: MgZrAl
Source: the Alexandria database
Functional: PBE
Structure: optimized geometry

Crystal system: cubic
Space group: F-43m, No. 216
DOS at the Fermi energy, states/eV per cell: 2.4
Formation energy from the elements, kJ/mol of formula units: 41

CIF file:
```
data_MgZrAl
_symmetry_space_group_name_H-M 'P 1'
_symmetry_Int_Tables_number 1
_symmetry_space_group_name_Hall 'P 1'
_cell_length_a 4.614
_cell_length_b 4.614
_cell_length_c 4.614
_cell_angle_alpha 60.00
_cell_angle_beta 60.00
_cell_angle_gamma 60.00
loop_
_atom_site_label
_atom_site_type_symbol
_atom_site_fract_x
_atom_site_fract_y
_atom_site_fract_z
Al1 Al 0.750 0.750 0.750
Mg1 Mg 0.000 0.000 0.000
Zr1 Zr 0.500 0.500 0.500
```



[2]
Compound: TbTmNb
Source: the Alexandria database
Functional: PBE
Structure: optimized geometry

Crystal system: orthorhombic
Space group: Cmcm, No. 63
DOS at the Fermi energy, states/eV per cell: 8.3
Formation energy from the elements, kJ/mol of formula units: 45

CIF file:
```
data_TbTmNb
_symmetry_space_group_name_H-M 'P 1'
_symmetry_Int_Tables_number 1
_symmetry_space_group_name_Hall 'P 1'
_cell_length_a 3.463
_cell_length_b 3.459
_cell_length_c 13.688
_cell_angle_alpha 82.74
_cell_angle_beta 90.00
_cell_angle_gamma 90.00
loop_
_atom_site_label
_atom_site_type_symbol
_atom_site_fract_x
_atom_site_fract_y
_atom_site_fract_z
Tm1 Tm 0.250 0.152 0.696
Tm2 Tm 0.750 0.848 0.304
Tb1 Tb 0.250 0.444 0.112
Tb2 Tb 0.750 0.556 0.888
Nb1 Nb 0.750 0.727 0.547
Nb2 Nb 0.250 0.273 0.453
```



[3]
Compound: In2ReCl
Source: the Alexandria database
Functional: PBE
Structure: optimized geometry

ΔE_f (raw), eV/atom: 0.821
Crystal system: tetragonal
Space group: I4/mmm, No. 139
DOS at the Fermi energy, states/eV per cell: 2.9
E above lowest polymorph, kJ per mole of atoms: 53.0

CIF file:
```
data_In2ReCl
_symmetry_space_group_name_H-M 'P 1'
_symmetry_Int_Tables_number 1
_symmetry_space_group_name_Hall 'P 1'
_cell_length_a 5.259
_cell_length_b 5.259
_cell_length_c 5.259
_cell_angle_alpha 130.79
_cell_angle_beta 130.79
_cell_angle_gamma 72.14
loop_
_atom_site_label
_atom_site_type_symbol
_atom_site_fract_x
_atom_site_fract_y
_atom_site_fract_z
Re1 Re 0.250 0.750 0.500
Cl1 Cl 0.750 0.250 0.500
In1 In 0.000 0.000 0.000
In2 In 0.500 0.500 0.000
```



[4]
Compound: LiAcTlIn2
Source: the Alexandria database
Functional: PBE
Structure: optimized geometry

Crystal system: tetragonal
Space group: I-4m2, No. 119
DOS at the Fermi energy, states/eV per cell: 1.7
Formation energy from the elements, kJ/mol of formula units: -151

CIF file:
```
data_LiAcTlIn2
_symmetry_space_group_name_H-M 'P 1'
_symmetry_Int_Tables_number 1
_symmetry_space_group_name_Hall 'P 1'
_cell_length_a 4.723
_cell_length_b 4.723
_cell_length_c 7.108
_cell_angle_alpha 109.40
_cell_angle_beta 109.40
_cell_angle_gamma 90.00
loop_
_atom_site_label
_atom_site_type_symbol
_atom_site_fract_x
_atom_site_fract_y
_atom_site_fract_z
Li1 Li 0.250 0.750 0.500
Ac1 Ac 0.000 0.000 0.000
Tl1 Tl 0.750 0.250 0.500
In1 In 0.613 0.613 0.225
In2 In 0.387 0.387 0.775
```